! Zr4AsPbC2 | OQMD | PBE | relaxed; values from VASP
&SYSTEM
  ibrav = 0, nat = 8, ntyp = 4
/
ATOMIC_SPECIES
C 12.01 C.upf
Zr 91.22 Zr.upf
As 74.92 As.upf
Pb 207.20 Pb.upf
CELL_PARAMETERS angstrom
-2.281 -2.147 -1.429
2.541 1.329 -1.905
8.068 -10.743 3.265
ATOMIC_POSITIONS crystal
C 0.333 0.667 0.232
C 0.333 0.667 0.768
Zr 0.000 0.000 0.320
Zr 0.000 0.000 0.680
Zr 0.667 0.333 0.140
Zr 0.667 0.333 0.860
As 0.000 0.000 0.000
Pb 0.667 0.333 0.500
! Energy ... -67.6 eV for the cell shown
! Symmetry ... P-6m2



! Li4CdIn2Ga | OQMD | PBE | relaxed; values from VASP
&SYSTEM
  ibrav = 0, nat = 8, ntyp = 4
/
ATOMIC_SPECIES
Li 6.94 Li.upf
Ga 69.72 Ga.upf
Cd 112.41 Cd.upf
In 114.82 In.upf
CELL_PARAMETERS angstrom
-0.332 -3.404 3.149
4.232 -1.513 -1.190
2.719 3.989 4.599
ATOMIC_POSITIONS crystal
Li 0.000 0.500 0.758
Li 0.500 0.000 0.242
Li 0.500 0.500 0.500
Li 0.000 0.000 0.000
Ga 0.500 0.500 0.000
Cd 0.000 0.000 0.500
In 0.000 0.500 0.242
In 0.500 0.000 0.758
! Energy ... -19.4 eV for the cell shown
! Symmetry ... P-4m2



! SmHfBi | OQMD | PBE | relaxed; values from VASP
&SYSTEM
  ibrav = 0, nat = 3, ntyp = 3
/
ATOMIC_SPECIES
Bi 208.98 Bi.upf
Sm 150.36 Sm.upf
Hf 178.49 Hf.upf
CELL_PARAMETERS angstrom
0.000 3.560 3.560
3.560 0.000 3.560
3.560 3.560 0.000
ATOMIC_POSITIONS crystal
Bi 0.000 0.000 0.000
Sm 0.750 0.750 0.750
Hf 0.250 0.250 0.250
! Energy ... -18.3 eV for the cell shown
! Symmetry ... F-43m



! Sm2Y2I2Br3N | OQMD | PBE | relaxed; values from VASP
&SYSTEM
  ibrav = 0, nat = 10, ntyp = 5
/
ATOMIC_SPECIES
Sm 150.36 Sm.upf
Y 88.91 Y.upf
Br 79.90 Br.upf
I 126.90 I.upf
N 14.01 N.upf
CELL_PARAMETERS angstrom
9.322 -1.933 0.000
9.322 1.933 0.000
-1.683 0.000 8.064
ATOMIC_POSITIONS crystal
Sm 0.999 0.999 0.201
Sm 0.001 0.001 0.799
Y 0.371 0.371 0.935
Y 0.629 0.629 0.065
Br 0.500 0.500 0.500
Br 0.159 0.159 0.329
Br 0.841 0.841 0.671
I 0.828 0.828 0.188
I 0.172 0.172 0.812
N 0.500 0.500 0.000
! Energy ... -53.6 eV for the cell shown
! Symmetry ... C2/m



! Rb2NaNdI6 | OQMD | PBE | relaxed; values from VASP
&SYSTEM
  ibrav = 0, nat = 10, ntyp = 4
/
ATOMIC_SPECIES
I 126.90 I.upf
Nd 144.24 Nd.upf
Rb 85.47 Rb.upf
Na 22.99 Na.upf
CELL_PARAMETERS angstrom
8.452 2.282 0.238
0.084 0.449 8.746
-2.704 -7.189 -4.208
ATOMIC_POSITIONS crystal
I 0.179 0.325 0.504
I 0.675 0.179 0.854
I 0.325 0.821 0.146
I 0.821 0.675 0.496
I 0.254 0.254 0.000
I 0.746 0.746 0.000
Nd 0.500 0.500 0.000
Rb 0.750 0.250 0.500
Rb 0.250 0.750 0.500
Na 0.000 0.000 0.000
! Energy ... -31.5 eV for the cell shown
! Symmetry ... I4/m



! SiNiPdAu | OQMD | PBE | relaxed; values from VASP
&SYSTEM
  ibrav = 0, nat = 4, ntyp = 4
/
ATOMIC_SPECIES
Au 196.97 Au.upf
Si 28.09 Si.upf
Pd 106.42 Pd.upf
Ni 58.69 Ni.upf
CELL_PARAMETERS angstrom
0.000 3.059 3.059
3.059 0.000 3.059
3.059 3.059 0.000
ATOMIC_POSITIONS crystal
Au 0.500 0.500 0.500
Si 0.000 0.000 0.000
Pd 0.250 0.250 0.250
Ni 0.750 0.750 0.750
! Energy ... -19.9 eV for the cell shown
! Symmetry ... F-43m



! HfHg2Pb2 | OQMD | PBE | relaxed; values from VASP
&SYSTEM
  ibrav = 0, nat = 5, ntyp = 3
/
ATOMIC_SPECIES
Hg 200.59 Hg.upf
Pb 207.20 Pb.upf
Hf 178.49 Hf.upf
CELL_PARAMETERS angstrom
2.899 -2.899 0.000
2.899 2.899 0.000
-2.899 0.000 7.774
ATOMIC_POSITIONS crystal
Hg 0.750 0.250 0.500
Hg 0.250 0.750 0.500
Pb 0.405 0.405 0.809
Pb 0.595 0.595 0.191
Hf 0.000 0.000 0.000
! Energy above the most stable polymorph in this dataset ... 0 meV/atom
! Symmetry ... I4/mmm



! SiNiIrPt | OQMD | PBE | relaxed; values from VASP
&SYSTEM
  ibrav = 0, nat = 4, ntyp = 4
/
ATOMIC_SPECIES
Ir 192.22 Ir.upf
Pt 195.08 Pt.upf
Si 28.09 Si.upf
Ni 58.69 Ni.upf
CELL_PARAMETERS angstrom
0.000 3.017 3.017
3.017 0.000 3.017
3.017 3.017 0.000
ATOMIC_POSITIONS crystal
Ir 0.500 0.500 0.500
Pt 0.250 0.250 0.250
Si 0.000 0.000 0.000
Ni 0.750 0.750 0.750
! Energy ... -25.7 eV for the cell shown
! Symmetry ... F-43m



! Lu6SiPd2 | OQMD | PBE | relaxed; values from VASP
&SYSTEM
  ibrav = 0, nat = 9, ntyp = 3
/
ATOMIC_SPECIES
Pd 106.42 Pd.upf
Lu 174.97 Lu.upf
Si 28.09 Si.upf
CELL_PARAMETERS angstrom
-6.836 3.386 0.640
1.973 -3.431 -6.553
-1.640 -3.570 1.376
ATOMIC_POSITIONS crystal
Pd 0.333 0.667 0.000
Pd 0.667 0.333 0.000
Lu 0.600 0.000 0.500
Lu 0.000 0.600 0.500
Lu 0.000 0.261 0.000
Lu 0.400 0.400 0.500
Lu 0.261 0.000 0.000
Lu 0.739 0.739 0.000
Si 0.000 0.000 0.500
! Energy ... -48.2 eV for the cell shown
! Symmetry ... P-62m



! Sr2H6OsPd | OQMD | PBE | relaxed; values from VASP
&SYSTEM
  ibrav = 0, nat = 10, ntyp = 4
/
ATOMIC_SPECIES
H 1.01 H.upf
Sr 87.62 Sr.upf
Pd 106.42 Pd.upf
Os 190.23 Os.upf
CELL_PARAMETERS angstrom
0.846 0.025 5.323
-3.733 -2.004 3.331
0.918 -4.629 2.604
ATOMIC_POSITIONS crystal
H 0.234 0.234 0.766
H 0.234 0.766 0.234
H 0.766 0.234 0.234
H 0.766 0.234 0.766
H 0.766 0.766 0.234
H 0.234 0.766 0.766
Sr 0.250 0.250 0.250
Sr 0.750 0.750 0.750
Pd 0.500 0.500 0.500
Os 0.000 0.000 0.000
! Energy ... -44.5 eV for the cell shown
! Symmetry ... Fm-3m



! LiAgB | OQMD | PBE | relaxed; values from VASP
&SYSTEM
  ibrav = 0, nat = 3, ntyp = 3
/
ATOMIC_SPECIES
Ag 107.87 Ag.upf
B 10.81 B.upf
Li 6.94 Li.upf
CELL_PARAMETERS angstrom
0.000 2.688 2.688
2.688 0.000 2.688
2.688 2.688 0.000
ATOMIC_POSITIONS crystal
Ag 0.250 0.250 0.250
B 0.000 0.000 0.000
Li 0.750 0.750 0.750
! Energy above the most stable polymorph in this dataset ... 0 meV/atom
! Symmetry ... F-43m



! ErTaAsO | OQMD | PBE | relaxed; values from VASP
&SYSTEM
  ibrav = 0, nat = 8, ntyp = 4
/
ATOMIC_SPECIES
O 16.00 O.upf
As 74.92 As.upf
Er 167.26 Er.upf
Ta 180.95 Ta.upf
CELL_PARAMETERS angstrom
4.087 0.000 0.000
0.000 4.087 0.000
0.000 0.000 7.845
ATOMIC_POSITIONS crystal
O 0.250 0.750 0.000
O 0.750 0.250 0.000
As 0.750 0.750 0.246
As 0.250 0.250 0.754
Er 0.250 0.750 0.500
Er 0.750 0.250 0.500
Ta 0.250 0.250 0.110
Ta 0.750 0.750 0.890
! Energy above the most stable polymorph in this dataset ... 1065 meV/atom
! Symmetry ... P4/nmm



! ZrTl2GaBr6 | OQMD | PBE | relaxed; values from VASP
&SYSTEM
  ibrav = 0, nat = 10, ntyp = 4
/
ATOMIC_SPECIES
Tl 204.38 Tl.upf
Br 79.90 Br.upf
Ga 69.72 Ga.upf
Zr 91.22 Zr.upf
CELL_PARAMETERS angstrom
0.000 5.645 5.645
5.645 0.000 5.645
5.645 5.645 0.000
ATOMIC_POSITIONS crystal
Tl 0.750 0.750 0.750
Tl 0.250 0.250 0.250
Br 0.261 0.261 0.739
Br 0.261 0.739 0.261
Br 0.261 0.739 0.739
Br 0.739 0.261 0.739
Br 0.739 0.739 0.261
Br 0.739 0.261 0.261
Ga 0.000 0.000 0.000
Zr 0.500 0.500 0.500
! Energy ... -35.3 eV for the cell shown
! Symmetry ... Fm-3m



! RbLu2CuTe3Se | OQMD | PBE | relaxed; values from VASP
&SYSTEM
  ibrav = 0, nat = 16, ntyp = 5
/
ATOMIC_SPECIES
Lu 174.97 Lu.upf
Te 127.60 Te.upf
Cu 63.55 Cu.upf
Se 78.96 Se.upf
Rb 85.47 Rb.upf
CELL_PARAMETERS angstrom
2.121 -7.372 0.000
2.121 7.372 0.000
0.000 0.000 15.410
ATOMIC_POSITIONS crystal
Lu 0.623 0.377 0.438
Lu 0.623 0.377 0.062
Lu 0.377 0.623 0.562
Lu 0.377 0.623 0.938
Te 0.260 0.740 0.105
Te 0.563 0.437 0.250
Te 0.740 0.260 0.605
Te 0.437 0.563 0.750
Te 0.260 0.740 0.395
Te 0.740 0.260 0.895
Cu 0.165 0.835 0.250
Cu 0.835 0.165 0.750
Se 0.000 0.000 0.500
Se 0.000 0.000 0.000
Rb 0.879 0.121 0.250
Rb 0.121 0.879 0.750
! Energy above the most stable polymorph in this dataset ... 28 meV/atom
! Symmetry ... Cmcm



! LaTlHgSe3 | OQMD | PBE | relaxed; values from VASP
&SYSTEM
  ibrav = 0, nat = 12, ntyp = 4
/
ATOMIC_SPECIES
Hg 200.59 Hg.upf
Se 78.96 Se.upf
La 138.91 La.upf
Tl 204.38 Tl.upf
CELL_PARAMETERS angstrom
-2.099 8.386 3.518
-4.963 5.708 5.469
6.856 -3.341 5.477
ATOMIC_POSITIONS crystal
Hg 0.484 0.484 0.282
Hg 0.516 0.516 0.718
Se 0.326 0.326 0.180
Se 0.340 0.340 0.623
Se 0.500 0.500 0.000
Se 0.674 0.674 0.820
Se 0.000 0.000 0.500
Se 0.660 0.660 0.377
La 0.174 0.174 0.603
La 0.826 0.826 0.397
Tl 0.135 0.135 0.079
Tl 0.865 0.865 0.921
! Energy above the most stable polymorph in this dataset ... 72 meV/atom
! Symmetry ... C2/m



! Li2Mg2NiGe2Pt | OQMD | PBE | relaxed; values from VASP
&SYSTEM
  ibrav = 0, nat = 8, ntyp = 5
/
ATOMIC_SPECIES
Mg 24.30 Mg.upf
Ge 72.64 Ge.upf
Li 6.94 Li.upf
Ni 58.69 Ni.upf
Pt 195.08 Pt.upf
CELL_PARAMETERS angstrom
4.326 0.000 0.000
0.000 4.326 0.000
0.000 0.000 6.167
ATOMIC_POSITIONS crystal
Mg 0.000 0.500 0.756
Mg 0.500 0.000 0.244
Ge 0.500 0.000 0.768
Ge 0.000 0.500 0.232
Li 0.000 0.000 0.500
Li 0.500 0.500 0.000
Ni 0.000 0.000 0.000
Pt 0.500 0.500 0.500
! Energy ... -31.6 eV for the cell shown
! Symmetry ... P-4m2



! TmZrAl4Ni2 | OQMD | PBE | relaxed; values from VASP
&SYSTEM
  ibrav = 0, nat = 8, ntyp = 4
/
ATOMIC_SPECIES
Ni 58.69 Ni.upf
Zr 91.22 Zr.upf
Tm 168.93 Tm.upf
Al 26.98 Al.upf
CELL_PARAMETERS angstrom
6.661 0.000 0.000
0.000 2.040 4.849
0.000 -2.040 4.849
ATOMIC_POSITIONS crystal
Ni 0.000 0.713 0.713
Ni 0.500 0.292 0.292
Zr 0.500 0.567 0.567
Tm 0.000 0.433 0.433
Al 0.796 0.144 0.144
Al 0.204 0.144 0.144
Al 0.694 0.854 0.854
Al 0.306 0.854 0.854
! Energy ... -44.3 eV for the cell shown
! Symmetry ... Amm2



! CsTmB4 | OQMD | PBE | relaxed; values from VASP
&SYSTEM
  ibrav = 0, nat = 6, ntyp = 3
/
ATOMIC_SPECIES
Cs 132.91 Cs.upf
Tm 168.93 Tm.upf
B 10.81 B.upf
CELL_PARAMETERS angstrom
3.264 0.000 0.000
-1.632 2.827 0.000
0.000 0.000 9.289
ATOMIC_POSITIONS crystal
Cs 0.000 0.000 0.500
Tm 0.000 0.000 0.000
B 0.667 0.333 0.803
B 0.333 0.667 0.803
B 0.667 0.333 0.197
B 0.333 0.667 0.197
! Energy above the most stable polymorph in this dataset ... 0 meV/atom
! Symmetry ... P6/mmm



! NpPaSb | OQMD | PBE | relaxed; values from VASP
&SYSTEM
  ibrav = 0, nat = 3, ntyp = 3
/
ATOMIC_SPECIES
Pa 231.04 Pa.upf
Sb 121.76 Sb.upf
Np 237.00 Np.upf
CELL_PARAMETERS angstrom
0.000 3.440 3.440
3.440 0.000 3.440
3.440 3.440 0.000
ATOMIC_POSITIONS crystal
Pa 0.000 0.000 0.000
Sb 0.750 0.750 0.750
Np 0.250 0.250 0.250
! Energy ... -24.7 eV for the cell shown
! Symmetry ... F-43m



! NbCl2 | OQMD | PBE | relaxed; values from VASP
&SYSTEM
  ibrav = 0, nat = 6, ntyp = 2
/
ATOMIC_SPECIES
Nb 92.91 Nb.upf
Cl 35.45 Cl.upf
CELL_PARAMETERS angstrom
-0.106 1.026 5.371
-3.559 -2.627 3.215
1.779 -3.770 3.540
ATOMIC_POSITIONS crystal
Nb 0.250 0.250 0.250
Nb 0.000 0.000 0.000
Cl 0.125 0.625 0.625
Cl 0.625 0.625 0.625
Cl 0.625 0.125 0.625
Cl 0.625 0.625 0.125
! Energy ... -21.0 eV for the cell shown
! Symmetry ... Fd-3m



! SmPuSi | OQMD | PBE | relaxed; values from VASP
&SYSTEM
  ibrav = 0, nat = 3, ntyp = 3
/
ATOMIC_SPECIES
Pu 244.00 Pu.upf
Sm 150.36 Sm.upf
Si 28.09 Si.upf
CELL_PARAMETERS angstrom
0.000 3.402 3.402
3.402 0.000 3.402
3.402 3.402 0.000
ATOMIC_POSITIONS crystal
Pu 0.250 0.250 0.250
Sm 0.750 0.750 0.750
Si 0.000 0.000 0.000
! Energy above the most stable polymorph in this dataset ... 0 meV/atom
! Symmetry ... F-43m



! Nd2P2AuO | OQMD | PBE | relaxed; values from VASP
&SYSTEM
  ibrav = 0, nat = 12, ntyp = 4
/
ATOMIC_SPECIES
O 16.00 O.upf
P 30.97 P.upf
Nd 144.24 Nd.upf
Au 196.97 Au.upf
CELL_PARAMETERS angstrom
7.588 -2.120 0.000
7.588 2.120 0.000
-6.515 0.000 7.520
ATOMIC_POSITIONS crystal
O 0.279 0.279 0.631
O 0.721 0.721 0.369
P 0.450 0.450 0.546
P 0.148 0.148 0.029
P 0.550 0.550 0.454
P 0.852 0.852 0.971
Nd 0.173 0.173 0.729
Nd 0.868 0.868 0.688
Nd 0.132 0.132 0.312
Nd 0.827 0.827 0.271
Au 0.411 0.411 0.126
Au 0.589 0.589 0.874
! Energy ... -77.1 eV for the cell shown
! Symmetry ... C2/m



! TbHoTeC | OQMD | PBE | relaxed; values from VASP
&SYSTEM
  ibrav = 0, nat = 8, ntyp = 4
/
ATOMIC_SPECIES
C 12.01 C.upf
Te 127.60 Te.upf
Tb 158.93 Tb.upf
Ho 164.93 Ho.upf
CELL_PARAMETERS angstrom
-3.531 1.433 -0.422
1.093 -1.441 3.381
4.674 12.655 3.882
ATOMIC_POSITIONS crystal
C 0.000 0.000 0.748
C 0.000 0.000 0.252
Te 0.333 0.667 0.000
Te 0.667 0.333 0.500
Tb 0.667 0.333 0.158
Tb 0.667 0.333 0.842
Ho 0.333 0.667 0.344
Ho 0.333 0.667 0.656
! Energy ... -50.1 eV for the cell shown
! Symmetry ... P-6m2



! RbGaAu | OQMD | PBE | relaxed; values from VASP
&SYSTEM
  ibrav = 0, nat = 3, ntyp = 3
/
ATOMIC_SPECIES
Au 196.97 Au.upf
Ga 69.72 Ga.upf
Rb 85.47 Rb.upf
CELL_PARAMETERS angstrom
0.000 3.715 3.715
3.715 0.000 3.715
3.715 3.715 0.000
ATOMIC_POSITIONS crystal
Au 0.000 0.000 0.000
Ga 0.250 0.250 0.250
Rb 0.750 0.750 0.750
! Energy above the most stable polymorph in this dataset ... 393 meV/atom
! Symmetry ... F-43m



! LuCoMo2 | OQMD | PBE | relaxed; values from VASP
&SYSTEM
  ibrav = 0, nat = 4, ntyp = 3
/
ATOMIC_SPECIES
Co 58.93 Co.upf
Mo 95.94 Mo.upf
Lu 174.97 Lu.upf
CELL_PARAMETERS angstrom
1.648 -3.861 -1.615
-2.305 -2.308 -3.097
1.506 -0.206 -4.233
ATOMIC_POSITIONS crystal
Co 0.250 0.250 0.250
Mo 0.750 0.750 0.750
Mo 0.000 0.000 0.000
Lu 0.500 0.500 0.500
! Formation energy ... 0.155 eV/atom
! Symmetry ... F-43m